# 1
The following is a DFT calculation (PBEsol) of a relaxed structure of LaOF.

Computed properties:
* energy: -96.2 eV/cell
* N(E_F): 0.00 states/eV/cell

Cell: 5.688 5.688 5.688 Å, 90.00 90.00 90.00°
Space group F-43m (No. 216)
Symmetry-distinct sites (fractional):
La 0.000 0.000 0.000 [4 per cell]
O 0.250 0.250 0.250 [4 per cell]
F 0.250 0.250 0.750 [4 per cell]

---

# 2
The following is a DFT calculation (PBEsol) of a relaxed structure of KMg2Pt.

Computed properties:
* N(E_F): 1.71 states/eV/cell
* energy of formation from the pure elements: -152.5 meV per atom

Cell: 3.570 3.570 8.083 Å, 90.00 90.00 90.00°
Space group P4mm (No. 99)
Symmetry-distinct sites (fractional):
K 0.000 0.000 0.000 [1 per cell]
Mg 0.000 0.000 0.602 [1 per cell]
Mg 0.500 0.500 0.370 [1 per cell]
Pt 0.500 0.500 0.695 [1 per cell]

---

# 3
The following is a DFT calculation (PBEsol) of a relaxed structure of BaTl2Ru.

Computed properties:
* N(E_F): 5.20 states/eV/cell
* energy of formation from the pure elements: 524.1 meV per atom

Cell: 4.465 4.465 5.159 Å, 90.00 90.00 90.00°
Space group P4/mmm (No. 123)
Symmetry-distinct sites (fractional):
Ba 0.000 0.000 0.000 [1 per cell]
Tl 0.000 0.500 0.500 [2 per cell]
Ru 0.500 0.500 0.000 [1 per cell]

---

# 4
The following is a DFT calculation (PBEsol) of a relaxed structure of GePS3.

Computed properties:
* energy: -22.5 eV/cell
* N(E_F): 2.52 states/eV/cell

Cell: 4.483 4.483 4.483 Å, 90.00 90.00 90.00°
Space group Pm-3m (No. 221)
Symmetry-distinct sites (fractional):
Ge 0.000 0.000 0.000 [1 per cell]
P 0.500 0.500 0.500 [1 per cell]
S 0.000 0.500 0.500 [3 per cell]

---

# 5
The following is a DFT calculation (PBEsol) of a relaxed structure of KAgTe2Rh.

Computed properties:
* energy: -11.3 eV/cell
* N(E_F): 9.13 states/eV/cell

Cell: 5.730 5.730 4.971 Å, 90.00 90.00 90.00°
Space group P4/mmm (No. 123)
Symmetry-distinct sites (fractional):
K 0.000 0.000 0.000 [1 per cell]
Ag 0.000 0.000 0.500 [1 per cell]
Te 0.000 0.500 0.000 [2 per cell]
Rh 0.500 0.500 0.500 [1 per cell]

---

# 6
The following is a DFT calculation (PBEsol) of a relaxed structure of RbCaCdIr2.

Computed properties:
* N(E_F): 6.17 states/eV/cell
* energy of formation from the pure elements: 1160.3 meV per atom

Cell: 5.034 5.034 5.319 Å, 90.00 90.00 90.00°
Space group P4/mmm (No. 123)
Symmetry-distinct sites (fractional):
Rb 0.000 0.000 0.000 [1 per cell]
Ca 0.500 0.500 0.000 [1 per cell]
Cd 0.500 0.500 0.500 [1 per cell]
Ir 0.000 0.500 0.500 [2 per cell]

---

# 7
The following is a DFT calculation (PBEsol) of a relaxed structure of RbZn2Sb2.

Computed properties:
* energy: -28.9 eV/cell
* N(E_F): 3.35 states/eV/cell

Cell: 4.116 4.116 16.457 Å, 90.00 90.00 90.00°
Space group I4/mmm (No. 139)
Symmetry-distinct sites (fractional):
Rb 0.000 0.000 0.000 [2 per cell]
Zn 0.000 0.500 0.250 [4 per cell]
Sb 0.000 0.000 0.357 [4 per cell]

---

# 8
The following is a DFT calculation (PBEsol) of a relaxed structure of NaOs2O6.

Computed properties:
* energy: -535.7 eV/cell
* N(E_F): 31.27 states/eV/cell

Cell: 10.105 10.105 10.105 Å, 90.00 90.00 90.00°
Space group Fd-3m (No. 227, origin choice 2)
Symmetry-distinct sites (fractional):
Na 0.125 0.125 0.125 [8 per cell]
Os 0.000 0.000 0.500 [16 per cell]
O 0.066 0.375 0.875 [48 per cell]

---

# 9
The following is a DFT calculation (PBEsol) of a relaxed structure of TaIrBr2.

Computed properties:
* energy: -52.8 eV/cell
* N(E_F): 2.31 states/eV/cell

Cell: 4.584 4.612 8.072 Å, 90.00 90.00 90.00°
Space group Cmm2 (No. 35)
Symmetry-distinct sites (fractional):
Ta 0.000 0.000 0.000 [2 per cell]
Ir 0.000 0.500 0.155 [2 per cell]
Br 0.000 0.000 0.371 [2 per cell]
Br 0.000 0.500 0.755 [2 per cell]

---

# 10
The following is a DFT calculation (PBEsol) of a relaxed structure of SiPtRh2.

Computed properties:
* energy: -30.8 eV/cell
* N(E_F): 3.13 states/eV/cell

Cell: 3.790 3.790 3.749 Å, 90.00 90.00 90.00°
Space group P4/mmm (No. 123)
Symmetry-distinct sites (fractional):
Si 0.000 0.000 0.000 [1 per cell]
Pt 0.500 0.500 0.000 [1 per cell]
Rh 0.000 0.500 0.500 [2 per cell]

---

# 11
The following is a DFT calculation (PBEsol) of a relaxed structure of Li2ScW.

Computed properties:
* N(E_F): 3.88 states/eV/cell
* energy of formation from the pure elements: 461.5 meV per atom

Cell: 2.746 4.802 10.604 Å, 90.00 90.00 90.00°
Space group Immm (No. 71)
Symmetry-distinct sites (fractional):
Li 0.000 0.000 0.235 [4 per cell]
Sc 0.000 0.500 0.000 [2 per cell]
W 0.000 0.500 0.500 [2 per cell]

---

# 12
The following is a DFT calculation (PBEsol) of a relaxed structure of Tb2GaNi2.

Computed properties:
* N(E_F): 6.35 states/eV/cell
* energy of formation from the pure elements: -581.1 meV per atom

Cell: 4.156 5.263 8.118 Å, 90.00 90.00 90.00°
Space group Immm (No. 71)
Symmetry-distinct sites (fractional):
Tb 0.000 0.000 0.202 [4 per cell]
Ga 0.000 0.500 0.000 [2 per cell]
Ni 0.000 0.266 0.500 [4 per cell]

---

# 13
The following is a DFT calculation (PBEsol) of a relaxed structure of AlRuPt2.

Computed properties:
* N(E_F): 8.53 states/eV/cell
* energy of formation from the pure elements: -396.6 meV per atom

Cell: 3.838 3.838 7.711 Å, 90.00 90.00 90.00°
Space group I4/mmm (No. 139)
Symmetry-distinct sites (fractional):
Al 0.000 0.000 0.000 [2 per cell]
Ru 0.000 0.000 0.500 [2 per cell]
Pt 0.000 0.500 0.250 [4 per cell]

---

# 14
The following is a DFT calculation (PBEsol) of a relaxed structure of SrAg6O4.

Computed properties:
* energy: -196.7 eV/cell

Cell: 6.441 12.322 8.851 Å, 90.00 90.00 90.00°
Space group Pnna (No. 52)
Symmetry-distinct sites (fractional):
Sr 0.250 0.000 0.117 [4 per cell]
Ag 0.000 0.000 0.500 [4 per cell]
Ag 0.078 0.239 0.461 [8 per cell]
Ag 0.094 0.750 0.250 [4 per cell]
Ag 0.210 0.623 0.739 [8 per cell]
O 0.047 0.120 0.917 [8 per cell]
O 0.093 0.103 0.327 [8 per cell]

---

# 15
The following is a DFT calculation (PBEsol) of a relaxed structure of ZnAsS2Cl.

Computed properties:
* energy: -15.8 eV/cell
* N(E_F): 3.18 states/eV/cell

Cell: 4.631 4.631 4.522 Å, 90.00 90.00 90.00°
Space group P4/mmm (No. 123)
Symmetry-distinct sites (fractional):
Zn 0.000 0.000 0.000 [1 per cell]
As 0.500 0.500 0.500 [1 per cell]
S 0.000 0.500 0.000 [2 per cell]
Cl 0.000 0.000 0.500 [1 per cell]

---

# 16
The following is a DFT calculation (PBEsol) of a relaxed structure of SbIrBr2.

Computed properties:
* energy: -34.2 eV/cell
* N(E_F): 7.87 states/eV/cell

Cell: 4.333 4.918 8.508 Å, 90.00 90.00 90.00°
Space group Cmm2 (No. 35)
Symmetry-distinct sites (fractional):
Sb 0.000 0.000 0.000 [2 per cell]
Ir 0.000 0.500 0.822 [2 per cell]
Br 0.000 0.000 0.618 [2 per cell]
Br 0.000 0.500 0.260 [2 per cell]

---

# 17
The following is a DFT calculation (PBEsol) of a relaxed structure of Y2Co5Si3.

Computed properties:
* energy: -303.9 eV/cell
* N(E_F): 36.32 states/eV/cell

Cell: 9.388 10.970 5.434 Å, 90.00 90.00 90.00°
Space group Ibam (No. 72)
Symmetry-distinct sites (fractional):
Y 0.245 0.125 0.000 [8 per cell]
Co 0.000 0.258 0.250 [8 per cell]
Co 0.000 0.500 0.250 [4 per cell]
Co 0.127 0.127 0.500 [8 per cell]
Si 0.000 0.000 0.250 [4 per cell]
Si 0.131 0.379 0.000 [8 per cell]

---

# 18
The following is a DFT calculation (PBEsol) of a relaxed structure of HfTlN2.

Computed properties:
* energy: -82.9 eV/cell
* N(E_F): 10.58 states/eV/cell

Cell: 3.4328 3.4328 19.3673 Å, 90.00 90.00 120.00°
Space group R-3m (No. 166, hexagonal axes)
Symmetry-distinct sites (fractional):
Hf 0.0000 0.0000 0.0000 [3 per cell]
Tl 0.0000 0.0000 0.5000 [3 per cell]
N 0.0000 0.0000 0.1038 [6 per cell]

---

# 19
The following is a DFT calculation (PBEsol) of a relaxed structure of Al2ZnPt.

Computed properties:
* N(E_F): 3.36 states/eV/cell
* energy of formation from the pure elements: -473.6 meV per atom

Cell: 3.987 3.987 7.231 Å, 90.00 90.00 90.00°
Space group I4/mmm (No. 139)
Symmetry-distinct sites (fractional):
Al 0.000 0.500 0.250 [4 per cell]
Zn 0.000 0.000 0.000 [2 per cell]
Pt 0.000 0.000 0.500 [2 per cell]

---

# 20
The following is a DFT calculation (PBEsol) of a relaxed structure of KNdO2.

Computed properties:
* energy: -82.0 eV/cell
* N(E_F): 0.00 states/eV/cell

Cell: 3.5989 3.5989 18.6047 Å, 90.00 90.00 120.00°
Space group R-3m (No. 166, hexagonal axes)
Symmetry-distinct sites (fractional):
K 0.0000 0.0000 0.0000 [3 per cell]
Nd 0.0000 0.0000 0.5000 [3 per cell]
O 0.0000 0.0000 0.2308 [6 per cell]